# 1
An optimized crystal structure of Sm5DySb5, computed with GGA-PBE.

a = 6.2535 Å, b = 7.6399 Å, c = 8.8224 Å
α = 106.89°, β = 90.00°, γ = 114.16°
Fractional coordinates of all 11 atoms:
Sm  0.6691  0.3381  0.3331
Sm  0.6649  0.3298  0.8315
Sm  0.0000  0.0000  0.5000
Sm  0.3351  0.6702  0.1685
Sm  0.3309  0.6619  0.6669
Dy  0.0000  0.0000  0.0000
Sb  0.8335  0.6669  0.1654
Sb  0.8347  0.6693  0.6678
Sb  0.5000  0.0000  0.0000
Sb  0.1653  0.3307  0.3322
Sb  0.1665  0.3331  0.8346

Output
* energy relative to the elements, uncorrected: -981 meV per atom
* symmetry: No. 12

***

# 2
An optimized crystal structure of Sm2Ho2Er2Tm, computed with GGA-PBE.

a = 3.4947 Å, b = 6.0663 Å, c = 11.7119 Å
α = 71.55°, β = 90.00°, γ = 106.74°
Fractional coordinates of all 7 atoms:
Sm  0.6711  0.3422  0.9150
Sm  0.3289  0.6578  0.0850
Ho  0.4495  0.8990  0.7690
Ho  0.5505  0.1010  0.2310
Er  0.7736  0.5471  0.3636
Er  0.2264  0.4529  0.6364
Tm  0.0000  0.0000  0.5000

Output
* ΔE_f: 8.47 kJ per mole of atoms
* symmetry: No. 12

***

# 3
An optimized crystal structure of Cr2H2Pb, computed with GGA-PBE.

a = 3.0864 Å, b = 3.0864 Å, c = 6.0410 Å
α = 75.20°, β = 75.20°, γ = 90.00°
Fractional coordinates of all 5 atoms:
Pb  0.0000  0.0000  0.0000
Cr  0.3231  0.3231  0.3537
Cr  0.6769  0.6769  0.6463
H  0.7500  0.2500  0.5000
H  0.2500  0.7500  0.5000

Output
* symmetry: No. 139

***

# 4
An optimized crystal structure of Be3AgSb, computed with GGA-PBE.

a = 4.4018 Å, b = 4.4018 Å, c = 4.4018 Å
α = 90.00°, β = 90.00°, γ = 90.00°
Fractional coordinates of all 5 atoms:
Sb  0.5000  0.5000  0.5000
Ag  0.0000  0.0000  0.0000
Be  0.0000  0.5000  0.0000
Be  0.0000  0.0000  0.5000
Be  0.5000  0.0000  0.0000

Output
* energy relative to the elements, uncorrected: 837 meV per atom
* symmetry: No. 221
* energy above the most stable polymorph in this dataset: 0.000 eV per atom

***

# 5
An optimized crystal structure of CdH2I, computed with GGA-PBE.

a = 4.4595 Å, b = 4.4595 Å, c = 4.4595 Å
α = 60.00°, β = 60.00°, γ = 60.00°
Fractional coordinates of all 4 atoms:
I  0.5000  0.5000  0.5000
H  0.2500  0.2500  0.2500
H  0.7500  0.7500  0.7500
Cd  0.0000  0.0000  0.0000

Output
* symmetry: No. 225
* energy above the most stable polymorph in this dataset: 1.038 eV per atom

***

# 6
An optimized crystal structure of Li2PmCuPd4, computed with GGA-PBE.

a = 4.3297 Å, b = 4.3297 Å, c = 8.4773 Å
α = 75.20°, β = 75.20°, γ = 60.00°
Fractional coordinates of all 8 atoms:
Li  0.7662  0.7662  0.7015
Li  0.2338  0.2338  0.2985
Pm  0.0000  0.0000  0.0000
Cu  0.5000  0.5000  0.5000
Pd  0.3956  0.3956  0.8131
Pd  0.8728  0.8728  0.3817
Pd  0.1272  0.1272  0.6183
Pd  0.6044  0.6044  0.1869

Output
* ΔE_f: -46.23 kJ per mole of atoms
* symmetry: No. 166

***

# 7
An optimized crystal structure of SnRuO2, computed with GGA-PBE.

a = 6.8857 Å, b = 6.8857 Å, c = 6.8857 Å
α = 26.79°, β = 26.79°, γ = 26.79°
Each line ends with the local moment (μB).
Fractional coordinates of all 4 atoms:
Ru  0.5000  0.5000  0.5000  0.77
Sn  0.0000  0.0000  0.0000  -0.01
O  0.8829  0.8829  0.8829  0.06
O  0.1171  0.1171  0.1171  0.06

Output
* energy relative to the elements, uncorrected: -650 meV per atom
* symmetry: No. 166

***

# 8
An optimized crystal structure of KAs2Au, computed with GGA-PBE.

a = 5.0576 Å, b = 5.0576 Å, c = 5.0576 Å
α = 60.00°, β = 60.00°, γ = 60.00°
Fractional coordinates of all 4 atoms:
As  0.0000  0.0000  0.0000
As  0.2500  0.2500  0.2500
Au  0.5000  0.5000  0.5000
K  0.7500  0.7500  0.7500

Output
* ΔE_f: 23.66 kJ per mole of atoms
* symmetry: No. 216
* energy above the most stable polymorph in this dataset: 0.404 eV per atom

***

no.,final energy (eV per atom)
1,-5.4183
2,-4.5109
3,-5.5606
4,-2.7936
5,-1.4166
6,-4.6599
7,-6.4489
8,-3.1732